Below is a geometry-optimized Rb2NdSb4Au3 structure, with properties calculated at the PBE level.

```
Rb2NdSb4Au3
1.0
4.930 0.000 0.000
0.000 4.930 0.000
0.000 0.000 12.292
Rb Nd Sb Au
2 1 4 3
Direct
0.000 0.500 0.240 Rb
0.500 0.000 0.760 Rb
0.000 0.000 0.500 Nd
0.000 0.000 0.000 Sb
0.000 0.500 0.648 Sb
0.500 0.000 0.352 Sb
0.500 0.500 0.000 Sb
0.000 0.500 0.880 Au
0.500 0.000 0.120 Au
0.500 0.500 0.500 Au
```

## Properties
- space group = P-4m2, No. 115
- DOS at the Fermi energy (states/eV/f.u.) = 2.51
- crystal system = tetragonal
- E (eV per atom) = -3.753
- ΔE_f (raw) (eV per atom) = -0.451

***

Below is a geometry-optimized RbNd2AuSe4 structure, with properties calculated at the PBE level.

```
RbNd2AuSe4
1.0
2.154 -7.348 0.000
2.154 7.348 0.000
0.000 0.000 15.008
Rb Nd Au Se
2 4 2 8
Direct
0.120 0.880 0.750 Rb
0.880 0.120 0.250 Rb
0.368 0.632 0.568 Nd
0.368 0.632 0.932 Nd
0.632 0.368 0.068 Nd
0.632 0.368 0.432 Nd
0.155 0.845 0.250 Au
0.845 0.155 0.750 Au
0.000 0.000 0.000 Se
0.000 0.000 0.500 Se
0.263 0.737 0.106 Se
0.263 0.737 0.394 Se
0.446 0.554 0.750 Se
0.554 0.446 0.250 Se
0.737 0.263 0.606 Se
0.737 0.263 0.894 Se
```

## Properties
- space group = Cmcm, No. 63
- crystal system = orthorhombic
- E (eV per atom) = -4.919
- ΔE_f (raw) (eV per atom) = -1.454

***

Below is a geometry-optimized RbNdAuSe2 structure, with properties calculated at the PBE level.

```
RbNdAuSe2
1.0
8.083 0.000 0.000
0.000 5.055 0.000
-1.337 0.000 8.192
Rb Nd Au Se
2 2 2 4
Direct
0.000 0.147 0.250 Rb
0.000 0.853 0.750 Rb
0.500 0.493 0.750 Nd
0.500 0.507 0.250 Nd
0.500 0.000 0.000 Au
0.500 0.000 0.500 Au
0.258 0.337 0.965 Se
0.258 0.663 0.465 Se
0.742 0.337 0.535 Se
0.742 0.663 0.035 Se
```

## Properties
- space group = P2/c, No. 13
- DOS at the Fermi energy (states/eV/f.u.) = 3.08
- crystal system = monoclinic
- E (eV per atom) = -4.288
- ΔE_f (raw) (eV per atom) = -1.092

***

Below is a geometry-optimized RbNdTe2Au structure, with properties calculated at the PBE level.

```
RbNdTe2Au
1.0
8.936 0.000 0.000
0.000 4.988 0.000
-1.240 0.000 8.568
Rb Nd Te Au
2 2 4 2
Direct
0.000 0.167 0.250 Rb
0.000 0.833 0.750 Rb
0.500 0.495 0.750 Nd
0.500 0.505 0.250 Nd
0.257 0.323 0.966 Te
0.257 0.677 0.466 Te
0.743 0.323 0.534 Te
0.743 0.677 0.034 Te
0.500 0.000 0.000 Au
0.500 0.000 0.500 Au
```

## Properties
- space group = P2/c, No. 13
- DOS at the Fermi energy (states/eV/f.u.) = 2.45
- crystal system = monoclinic
- E (eV per atom) = -3.956
- ΔE_f (raw) (eV per atom) = -0.897

***

Below is a geometry-optimized RbNd2Te4Au structure, with properties calculated at the PBE level.

```
RbNd2Te4Au
1.0
2.273 -7.817 0.000
2.273 7.817 0.000
0.000 0.000 15.975
Rb Nd Te Au
2 4 8 2
Direct
0.122 0.878 0.750 Rb
0.878 0.122 0.250 Rb
0.368 0.632 0.569 Nd
0.368 0.632 0.931 Nd
0.632 0.368 0.069 Nd
0.632 0.368 0.431 Nd
0.000 0.000 0.000 Te
0.000 0.000 0.500 Te
0.266 0.734 0.109 Te
0.266 0.734 0.391 Te
0.447 0.553 0.750 Te
0.553 0.447 0.250 Te
0.734 0.266 0.609 Te
0.734 0.266 0.891 Te
0.155 0.845 0.250 Au
0.845 0.155 0.750 Au
```

## Properties
- space group = Cmcm, No. 63
- crystal system = orthorhombic
- E (eV per atom) = -4.458
- ΔE_f (raw) (eV per atom) = -1.165

***

Below is a geometry-optimized Nd5Rh2Au structure, with properties calculated at the PBE level.

```
Nd5Rh2Au
1.0
-3.955 3.955 6.860
3.955 -3.955 6.860
3.955 3.955 -6.860
Nd Rh Au
10 4 2
Direct
0.000 0.000 0.000 Nd
0.027 0.527 0.829 Nd
0.198 0.027 0.500 Nd
0.302 0.802 0.829 Nd
0.473 0.302 0.500 Nd
0.500 0.500 0.000 Nd
0.527 0.698 0.500 Nd
0.698 0.198 0.171 Nd
0.802 0.973 0.500 Nd
0.973 0.473 0.171 Nd
0.135 0.365 0.500 Rh
0.365 0.865 0.230 Rh
0.635 0.135 0.770 Rh
0.865 0.635 0.500 Rh
0.250 0.250 0.000 Au
0.750 0.750 0.000 Au
```

## Properties
- space group = I4/mcm, No. 140
- DOS at the Fermi energy (states/eV/f.u.) = 9.20
- crystal system = tetragonal
- E_form (eV per atom) = -0.598
- E (eV per atom) = -5.826

***

Question: Which formula does entry 5 have?
Answer: RbNd2Te4Au

***

Question: Look up the E of the sixth one.
Answer: -5.826 eV per atom

***

Question: Among the records above, which one has the highest E?
Answer: Rb2NdSb4Au3